Cd2FeSi | PBE-GGA | optimized geometry

E = -14.0 eV/cell
magnetic moment = 2.65 μB per cell
Fermi-level density of states = 0.53 states/eV per atom
formation energy without anion corrections = 0.426 eV/atom

The structure in POSCAR format:
```
Cd2FeSi
1.0
-1.7533 2.0884 -0.7226
-2.1014 -1.2791 1.3804
2.2266 4.4781 7.5393
Cd Si Fe
2 1 1
Cartesian
1.0563 2.1244 3.5765
0.0570 0.1147 0.1931
-0.2573 3.7632 5.9833
-1.3707 1.5241 2.2137
```